No. 1
The following is a PBE-GGA calculation of a relaxed structure of Ac2MnPbS5, from the Alexandria database.

Lattice parameters (Å, degrees): 4.206 17.356 12.498 90.00 90.00 90.00
Space group Cmc2_1 (No. 36)
Unique sites:
Ac (0.000, 0.113, 0.000) [4 per cell]
Ac (0.000, 0.134, 0.648) [4 per cell]
Mn (0.000, 0.459, 0.731) [4 per cell]
Pb (0.000, 0.184, 0.345) [4 per cell]
S (0.000, 0.003, 0.308) [4 per cell]
S (0.000, 0.289, 0.007) [4 per cell]
S (0.000, 0.327, 0.669) [4 per cell]
S (0.000, 0.343, 0.326) [4 per cell]
S (0.000, 0.485, 0.058) [4 per cell]

Summary:
E_form (uncorrected) = -1.45 eV per atom
Uncorrected energy = -6.087 eV/atom

No. 2
The following is a PBE-GGA calculation of a relaxed structure of TeRhW2, from the Alexandria database.

Lattice parameters (Å, degrees): 3.309 4.357 4.753 90.00 90.00 90.00
Space group Pmmm (No. 47)
Unique sites:
Te (0.000, 0.000, 0.000) [1 per cell]
Rh (0.500, 0.500, 0.000) [1 per cell]
W (0.000, 0.500, 0.500) [1 per cell]
W (0.500, 0.000, 0.500) [1 per cell]

Summary:
E_form (uncorrected) = 0.52 eV per atom
Uncorrected energy = -8.578 eV/atom

No. 3
The following is a PBE-GGA calculation of a relaxed structure of Pm3Tm5Th2, from the Alexandria database.

Lattice parameters (Å, degrees): 10.691 16.827 9.006 90.00 126.31 90.00
Space group C2/c (No. 15)
Unique sites:
Pm (0.000, 0.224, 0.250) [4 per cell]
Pm (0.147, 0.122, 0.042) [8 per cell]
Tm (0.000, 0.030, 0.250) [4 per cell]
Tm (0.000, 0.277, 0.750) [4 per cell]
Tm (0.000, 0.467, 0.750) [4 per cell]
Tm (0.248, 0.112, 0.751) [8 per cell]
Th (0.139, 0.379, 0.529) [8 per cell]

Summary:
Uncorrected energy = -4.929 eV/atom
Formation energy = 209 kJ/mol of formula units

No. 4
The following is a PBE-GGA calculation of a relaxed structure of AcSm2Se, from the Alexandria database.

Lattice parameters (Å, degrees): 3.9689 3.9689 29.6075 90.00 90.00 120.00
Space group R3m (No. 160, hexagonal axes)
Unique sites:
Ac (0.0000, 0.0000, 0.0000) [3 per cell]
Sm (0.0000, 0.0000, 0.2278) [3 per cell]
Sm (0.0000, 0.0000, 0.4389) [3 per cell]
Se (0.0000, 0.0000, 0.8332) [3 per cell]

Summary:
E_form (uncorrected) = -0.82 eV per atom
Uncorrected energy = -5.079 eV/atom

No. 5
The following is a PBE-GGA calculation of a relaxed structure of Rb3In8Sn3, from the Alexandria database.

Lattice parameters (Å, degrees): 5.223 11.503 14.947 90.00 90.00 90.00
Space group Immm (No. 71)
Unique sites:
Rb (0.000, 0.000, 0.000) [2 per cell]
Rb (0.000, 0.000, 0.306) [4 per cell]
In (0.000, 0.276, 0.145) [8 per cell]
In (0.000, 0.368, 0.339) [8 per cell]
Sn (0.000, 0.199, 0.500) [4 per cell]
Sn (0.000, 0.500, 0.000) [2 per cell]

Summary:
Uncorrected energy = -2.717 eV/atom
Formation energy = -118 kJ/mol of formula units

No. 6
The following is a PBE-GGA calculation of a relaxed structure of Nd6Sb3C, from the Alexandria database.

Lattice parameters (Å, degrees): 6.834 8.295 12.453 90.00 121.61 90.00
Space group P2_1/c (No. 14)
Unique sites:
Nd (0.092, 0.044, 0.228) [4 per cell]
Nd (0.189, 0.716, 0.057) [4 per cell]
Nd (0.374, 0.156, 0.052) [4 per cell]
Sb (0.315, 0.110, 0.748) [4 per cell]
Sb (0.500, 0.000, 0.500) [2 per cell]
C (0.000, 0.000, 0.000) [2 per cell]

Summary:
E_form (uncorrected) = -0.70 eV per atom
Uncorrected energy = -5.717 eV/atom